(1)
The following is a DFT calculation (PBE) of a relaxed structure of NaNpAgTe3.

Calculated values
Formation energy (no corrections) ... -0.590 eV per atom
Raw total energy ... -5.0125 eV per atom
Magnetic moment ... 6.07 Bohr magnetons per cell

The structure in POSCAR format:
```
NaNpAgTe3
1.0
4.385 0.000 0.000
0.000 8.389 0.202
0.000 -3.099 10.080
Te Ag Na Np
6 2 2 2
direct
0.750 0.280 0.541 Te
0.750 0.419 0.140 Te
0.750 0.928 0.148 Te
0.250 0.720 0.459 Te
0.250 0.581 0.860 Te
0.250 0.072 0.852 Te
0.250 0.083 0.587 Ag
0.750 0.917 0.413 Ag
0.750 0.771 0.707 Na
0.250 0.229 0.293 Na
0.750 0.317 0.835 Np
0.250 0.683 0.165 Np
```

=====

(2)
The following is a DFT calculation (PBE) of a relaxed structure of NaAg5O4.

Calculated values
Formation energy (no corrections) ... -0.133 eV per atom
Raw total energy ... -3.6736 eV per atom
Magnetic moment ... 1.79 Bohr magnetons per cell

The structure in POSCAR format:
```
NaAg5O4
1.0
5.332 0.000 0.000
0.000 6.825 0.000
0.000 0.000 8.809
O Ag Na
8 10 2
direct
0.960 0.000 0.261 O
0.960 0.000 0.739 O
0.040 0.500 0.239 O
0.040 0.500 0.761 O
0.521 0.269 0.000 O
0.479 0.231 0.500 O
0.479 0.769 0.500 O
0.521 0.731 0.000 O
0.244 0.204 0.166 Ag
0.244 0.796 0.834 Ag
0.756 0.704 0.666 Ag
0.756 0.296 0.334 Ag
0.756 0.704 0.334 Ag
0.756 0.296 0.666 Ag
0.244 0.204 0.834 Ag
0.808 0.500 0.000 Ag
0.192 0.000 0.500 Ag
0.244 0.796 0.166 Ag
0.769 0.000 0.000 Na
0.231 0.500 0.500 Na
```

=====

(3)
The following is a DFT calculation (PBE) of a relaxed structure of NaAgO.

Calculated values
Formation energy (no corrections) ... -0.807 eV per atom
Raw total energy ... -3.8497 eV per atom
Magnetic moment ... 0.00 Bohr magnetons per cell

The structure in POSCAR format:
```
NaAgO
1.0
7.179 -0.002 0.000
-5.649 4.430 0.000
-0.765 -2.214 6.786
Na O Ag
4 4 4
direct
0.840 0.500 0.340 Na
0.500 0.840 0.340 Na
0.160 0.500 0.660 Na
0.500 0.160 0.660 Na
0.000 0.309 0.309 O
0.000 0.691 0.691 O
0.309 0.000 0.309 O
0.691 0.000 0.691 O
0.843 0.843 0.685 Ag
0.157 0.157 0.315 Ag
0.843 0.157 0.000 Ag
0.157 0.843 0.000 Ag
```

=====

(4)
The following is a DFT calculation (PBE) of a relaxed structure of NaAgO.

Calculated values
Formation energy (no corrections) ... -0.455 eV per atom
Raw total energy ... -3.4975 eV per atom
Magnetic moment ... 0.00 Bohr magnetons per cell

The structure in POSCAR format:
```
NaAgO
1.0
4.427 0.000 0.000
0.000 3.675 0.000
0.000 -1.837 3.182
Ag Na O
1 1 1
direct
0.220 0.333 0.667 Ag
0.763 0.667 0.333 Na
0.016 0.000 0.000 O
```

=====

(5)
The following is a DFT calculation (PBE) of a relaxed structure of NaAg6O4.

Calculated values
Formation energy (no corrections) ... -0.166 eV per atom
Raw total energy ... -3.6437 eV per atom
Magnetic moment ... 0.00 Bohr magnetons per cell

The structure in POSCAR format:
```
NaAg6O4
1.0
6.281 0.024 0.035
-2.883 5.581 -0.035
-2.883 -2.084 5.177
Ag O Na
6 4 1
direct
0.500 0.000 0.500 Ag
0.499 0.500 0.500 Ag
0.501 0.001 0.001 Ag
0.000 0.500 0.999 Ag
0.000 0.999 0.500 Ag
0.500 0.500 0.000 Ag
0.000 0.755 0.244 O
0.000 0.244 0.755 O
0.489 0.245 0.245 O
0.511 0.756 0.756 O
0.000 0.000 0.000 Na
```

=====

(6)
The following is a DFT calculation (PBE) of a relaxed structure of Na2AgO2.

Calculated values
Formation energy (no corrections) ... -0.309 eV per atom
Raw total energy ... -3.3899 eV per atom
Magnetic moment ... 1.00 Bohr magnetons per cell

The structure in POSCAR format:
```
Na2AgO2
1.0
-3.323 -1.472 1.156
-0.266 -1.960 -3.261
0.630 -5.541 1.048
O Na Ag
2 2 1
direct
0.376 0.376 0.248 O
0.624 0.624 0.752 O
0.750 0.250 0.500 Na
0.250 0.750 0.500 Na
0.000 0.000 0.000 Ag
```

=====

(7)
The following is a DFT calculation (PBE) of a relaxed structure of NaAg8O6.

Calculated values
Formation energy (no corrections) ... -0.105 eV per atom
Raw total energy ... -3.6972 eV per atom
Magnetic moment ... 0.00 Bohr magnetons per cell

The structure in POSCAR format:
```
NaAg8O6
1.0
-4.635 4.117 -0.516
-3.437 -4.191 -3.052
-2.420 -1.989 5.374
O Ag Na
6 8 1
direct
0.214 0.273 0.732 O
0.732 0.214 0.273 O
0.268 0.786 0.727 O
0.727 0.268 0.786 O
0.786 0.727 0.268 O
0.273 0.732 0.214 O
0.632 0.632 0.632 Ag
0.039 0.752 0.485 Ag
0.485 0.039 0.752 Ag
0.368 0.368 0.368 Ag
0.961 0.248 0.515 Ag
0.752 0.485 0.039 Ag
0.248 0.515 0.961 Ag
0.515 0.961 0.248 Ag
0.000 0.000 0.000 Na
```

=====

(8)
The following is a DFT calculation (PBE) of a relaxed structure of NaAgO.

Calculated values
Formation energy (no corrections) ... -0.579 eV per atom
Raw total energy ... -3.6219 eV per atom
Magnetic moment ... 2.02 Bohr magnetons per cell

The structure in POSCAR format:
```
NaAgO
1.0
-2.468 0.879 -3.715
-5.346 -1.528 3.190
-0.631 6.101 1.864
Ag Na O
4 4 4
direct
0.500 0.000 0.222 Ag
0.000 0.778 0.000 Ag
0.000 0.222 0.000 Ag
0.500 0.000 0.778 Ag
0.500 0.500 0.739 Na
0.000 0.739 0.500 Na
0.500 0.500 0.261 Na
0.000 0.261 0.500 Na
0.500 0.782 0.500 O
0.500 0.218 0.500 O
0.000 0.500 0.782 O
0.000 0.500 0.218 O
```

=====

(9)
The following is a DFT calculation (PBE) of a relaxed structure of NaAg2O3.

Calculated values
Formation energy (no corrections) ... -0.322 eV per atom
Raw total energy ... -3.9709 eV per atom
Magnetic moment ... 0.00 Bohr magnetons per cell

The structure in POSCAR format:
```
NaAg2O3
1.0
5.306 0.000 0.000
0.000 6.858 0.000
0.000 -3.429 5.939
O Ag Na
6 4 2
direct
0.839 0.377 0.188 O
0.161 0.188 0.812 O
0.839 0.812 0.188 O
0.161 0.623 0.812 O
0.839 0.812 0.623 O
0.161 0.188 0.377 O
0.000 0.500 0.000 Ag
0.000 0.000 0.000 Ag
0.000 0.500 0.500 Ag
0.000 0.000 0.500 Ag
0.461 0.333 0.667 Na
0.539 0.667 0.333 Na
```

=====

(10)
The following is a DFT calculation (PBE) of a relaxed structure of NaAg2O2.

Calculated values
Formation energy (no corrections) ... -0.371 eV per atom
Raw total energy ... -3.7586 eV per atom
Magnetic moment ... 0.00 Bohr magnetons per cell

The structure in POSCAR format:
```
NaAg2O2
1.0
3.609 0.000 0.000
0.000 4.260 0.000
-1.804 -2.130 4.768
Ag O Na
2 2 1
direct
0.347 0.347 0.695 Ag
0.653 0.653 0.305 Ag
0.334 0.834 0.669 O
0.666 0.166 0.331 O
0.000 0.000 0.000 Na
```

=====

(11)
The following is a DFT calculation (PBE) of a relaxed structure of NaAg2O4.

Calculated values
Formation energy (no corrections) ... -0.175 eV per atom
Raw total energy ... -4.0116 eV per atom
Magnetic moment ... 4.58 Bohr magnetons per cell

The structure in POSCAR format:
```
NaAg2O4
1.0
6.489 -0.555 0.961
-2.685 5.933 -0.961
-1.119 -3.243 5.618
O Ag Na
8 4 2
direct
0.181 0.788 0.393 O
0.606 0.212 0.393 O
0.144 0.287 0.857 O
0.143 0.712 0.856 O
0.607 0.787 0.394 O
0.569 0.713 0.857 O
0.143 0.288 0.431 O
0.607 0.213 0.819 O
0.375 0.750 0.625 Ag
0.375 0.250 0.625 Ag
0.875 0.250 0.625 Ag
0.375 0.750 0.125 Ag
0.750 0.500 0.250 Na
0.000 0.000 0.000 Na
```